A plane-wave DFT calculation with PBE was carried out for Ac3Rh8Au after structural relaxation.

POSCAR file:
```
Ac3Rh8Au
1.0
2.7466 1.5858 8.9615
-2.7466 1.5858 8.9615
0.0000 -3.1715 8.9615
Ac Rh Au
3 8 1
direct
0.0000 0.0000 0.0000
0.1304 0.1304 0.1304
0.6132 0.6132 0.6132
0.0603 0.0603 0.5612
0.0603 0.5612 0.0603
0.0618 0.5633 0.5633
0.3121 0.3121 0.3121
0.5612 0.0603 0.0603
0.5633 0.0618 0.5633
0.5633 0.5633 0.0618
0.8122 0.8122 0.8122
0.4891 0.4891 0.4891
```

Computed properties:
Calculated formation energy (meV per atom): -401
Magnetization (Bohr magnetons per cell): 0.000